10
Lattice="7.5334 0.0000 0.0000 0.0000 7.5334 0.0000 0.0000 0.0000 2.8039" Properties=species:S:1:pos:R:3 comment="Li2TiAg2 PBE-GGA relaxed" polymorph_energy_mev_per_atom=0.0 crystal_system=tetragonal delta_e_f_ev_per_atom=0.0267 sg="No. 127" pbc="T T T"
Li 4.6395 0.8728 0.0000
Li 2.8940 6.6607 0.0000
Li 6.6607 4.6395 0.0000
Li 0.8728 2.8940 0.0000
Ag 5.1564 6.1438 1.4019
Ag 6.1438 2.3771 1.4019
Ag 2.3771 1.3897 1.4019
Ag 1.3897 5.1564 1.4019
Ti 0.0000 0.0000 0.0000
Ti 3.7667 3.7667 0.0000


5
Lattice="4.9617 0.0000 0.0000 0.0000 4.9617 0.0000 0.0000 0.0000 4.9617" Properties=species:S:1:pos:R:3 comment="KHf3S PBE-GGA relaxed" polymorph_energy_mev_per_atom=2082.9 crystal_system=cubic e_form_raw_ev_per_atom=2.314 sg="No. 221" pbc="T T T"
S 2.4809 2.4809 2.4809
Hf 0.0000 2.4809 0.0000
Hf 2.4809 0.0000 0.0000
Hf 0.0000 0.0000 2.4809
K 0.0000 0.0000 0.0000


4
Lattice="-1.6358 -0.7502 1.9381 0.7420 -1.8606 -1.7269 7.0509 -1.9950 5.1788" Properties=species:S:1:pos:R:3 comment="LiZnRu2 PBE-GGA relaxed" crystal_system=orthorhombic delta_e_f_ev_per_atom=0.1830 sg="No. 65" pbc="T T T"
Li 4.8412 -2.8017 3.9897
Zn 1.3158 -1.8042 1.4003
Ru 3.5026 -0.9911 2.5727
Ru 0.0228 -0.0064 0.0167


14
Lattice="8.3177 0.0000 0.0000 4.1589 7.2034 0.0000 4.1589 2.4011 6.7752" Properties=species:S:1:pos:R:3 comment="Pr4SmTmS8 PBE-GGA relaxed" crystal_system=trigonal e_form_raw_ev_per_atom=-1.902 sg="No. 160" pbc="T T T"
S 8.3177 7.2517 5.1085
S 10.5651 6.0998 1.7201
S 6.0703 6.0998 1.7201
S 8.3177 2.2072 1.7201
S 4.1589 2.4011 1.7093
S 12.4766 7.2034 4.9090
S 6.1965 3.5775 5.1085
S 10.4390 3.5775 5.1085
Tm 8.3177 4.8022 5.9223
Pr 2.1281 1.2287 3.4050
Pr 6.1896 1.2287 3.4050
Pr 4.1589 4.7460 3.4050
Pr 8.3177 4.8022 0.8531
Sm 4.1589 2.4011 6.7196


12
Lattice="4.8671 0.0000 0.0000 0.0000 3.7449 -0.5562 0.0000 0.6235 17.0848" Properties=species:S:1:pos:R:3 comment="Er3Mg7Cd2 PBE-GGA relaxed" polymorph_energy_mev_per_atom=77.4 crystal_system=orthorhombic delta_e_f_ev_per_atom=-0.0025 sg="No. 65" pbc="T T T"
Mg 0.0000 2.1431 14.4303
Mg 0.0000 2.2254 2.0983
Mg 2.4335 0.4002 2.6947
Mg 0.0000 0.0000 0.0000
Mg 0.0000 1.0835 7.2958
Mg 2.4335 3.9683 13.8339
Mg 0.0000 3.2850 9.2328
Cd 0.0000 3.6891 11.9540
Cd 0.0000 0.6794 4.5746
Er 2.4335 1.6766 11.2895
Er 2.4335 2.6918 5.2391
Er 2.4335 1.8725 -0.2781


9
Lattice="4.7094 0.0000 0.0000 -2.3547 5.0101 -1.9340 0.0000 -0.8366 8.7782" Properties=species:S:1:pos:R:3 comment="Th3Zn4Ag2 PBE-GGA relaxed" crystal_system=monoclinic delta_e_f_ev_per_atom=-0.2293 sg="No. 12" pbc="T T T"
Ag 2.3547 0.8816 1.9982
Ag 0.0000 3.2919 4.8461
Zn 2.3547 4.0849 3.6805
Zn 0.0000 0.0887 3.1638
Zn 0.0000 1.8489 7.1836
Zn 2.3547 2.3247 -0.3394
Th 0.0000 3.0503 1.6335
Th 0.0000 0.0000 0.0000
Th 2.3547 1.1233 5.2107


In g/cm³, the density values for the records above are, in order, 5.8 8.2 8.1 4.7 4.8 9.8.